No. 1
Density functional theory data (PBE) for a geometry-optimized Li3HPd structure.

Its crystal system is cubic. The calculation puts the energy at -3.186 eV per atom. The density of states at the Fermi level is 0.27 states/eV per cell. As for the total magnetic moment: 0.00 μB per atom.

Cell lengths 3.8920, 3.8920, 3.8920 Å; angles 90.00, 90.00, 90.00 degrees
Space group Pm-3m (No. 221)
Symmetry-distinct sites (fractional):
Li 0.0000 0.0000 0.5000 x3
H 0.0000 0.0000 0.0000 x1
Pd 0.5000 0.5000 0.5000 x1

=====

No. 2
Density functional theory data (PBE) for a geometry-optimized RbNd2US5 structure.

Its crystal system is orthorhombic. The calculation puts the energy at -6.374 eV per atom. The density of states at the Fermi level is 13.69 states/eV per cell. As for the total magnetic moment: 0.27 μB per atom.

Cell lengths 5.0524, 7.2675, 13.9268 Å; angles 90.00, 90.00, 90.00 degrees
Space group Immm (No. 71)
Symmetry-distinct sites (fractional):
Rb 0.0000 0.0000 0.0000 x2
Nd 0.0000 0.5000 0.2047 x4
U 0.0000 0.0000 0.5000 x2
S 0.0000 0.2352 0.3490 x8
S 0.0000 0.5000 0.0000 x2

=====

No. 3
Density functional theory data (PBE) for a geometry-optimized Zn2ReP2 structure.

Its crystal system is tetragonal. The calculation puts the energy at -4.554 eV per atom. The density of states at the Fermi level is 7.48 states/eV per cell. As for the total magnetic moment: 0.14 μB per atom. For the formation energy, the calculation gives 0.609 eV per atom.

Cell lengths 3.1085, 3.1085, 16.7375 Å; angles 90.00, 90.00, 90.00 degrees
Space group I4/mmm (No. 139)
Symmetry-distinct sites (fractional):
Zn 0.0000 0.0000 0.0949 x4
Re 0.0000 0.0000 0.5000 x2
P 0.0000 0.5000 0.2500 x4

=====

No. 4
Density functional theory data (PBE) for a geometry-optimized Zn3Ag10Pb structure.

Its crystal system is cubic. The calculation puts the energy at -2.459 eV per atom. The density of states at the Fermi level is 36.76 states/eV per cell. As for the total magnetic moment: 0.00 μB per atom. For the formation energy, the calculation gives 0.115 eV per atom.

Cell lengths 13.0226, 13.0226, 13.0226 Å; angles 90.00, 90.00, 90.00 degrees
Space group Fm-3m (No. 225)
Symmetry-distinct sites (fractional):
Zn 0.0000 0.0000 0.2279 x24
Ag 0.0000 0.1717 0.3283 x48
Ag 0.1210 0.1210 0.1210 x32
Pb 0.2500 0.2500 0.2500 x8

=====

no.,theoretical density (g/cm3)
1,3.6
2,5.0
3,7.8
4,8.9